Below is crystalline PPdW3 at its relaxed geometry, with properties calculated at the PBE-GGA level.

DOS(E_F)   1.60 states/eV per atom
Relative energy among the computed polymorphs   0 meV/atom
DFT total energy   -8.9589 eV/atom
Space group   Pm-3m
ΔH_f (0 K)   0.93 eV per atom
Total magnetic moment   0.00 μB per cell

Cell: 4.4322 4.4322 4.4322 Å, 90.00 90.00 90.00°
Last column: nearest neighbours and their distance in Å.
Fractional positions:
P: 0.0000 0.0000 0.0000  6 W 2.22
Pd: 0.5000 0.5000 0.5000  12 W 3.13
W: 0.0000 0.0000 0.5000  2 P 2.22
W: 0.0000 0.5000 0.0000  2 P 2.22
W: 0.5000 0.0000 0.0000  2 P 2.22